A plane-wave DFT calculation with PBE was carried out for a relaxed structure of YTiO3.

VASP energy = -0.66434 Ry/atom
calculated density = 5.215 g cm⁻³
D(E_F) = 1.834 states/eV/f.u.

POSCAR file:
```
YTiO3
1.0
5.3462 0.0000 0.0000
0.0000 5.7191 0.0000
0.0000 0.0000 7.6970
Y Ti O
4 4 12
direct
0.0222 0.9286 0.7500
0.5222 0.5714 0.2500
0.4778 0.4286 0.7500
0.9778 0.0714 0.2500
0.0000 0.5000 0.5000
0.5000 0.0000 0.5000
0.5000 0.0000 0.0000
0.0000 0.5000 0.0000
0.6906 0.3018 0.4421
0.1906 0.1982 0.5579
0.8094 0.8018 0.0579
0.3094 0.6982 0.9421
0.3094 0.6982 0.5579
0.8094 0.8018 0.4421
0.1906 0.1982 0.9421
0.6906 0.3018 0.0579
0.1201 0.4548 0.2500
0.6201 0.0452 0.7500
0.3799 0.9548 0.2500
0.8799 0.5452 0.7500
```